Entry 1:
Below is AcPaMnO6 after structural relaxation, with properties calculated at the PBE with a Hubbard U level.

Cell and atoms, written as POSCAR:
```
AcPaMnO6
1.0
-0.265 -4.645 -1.397
2.360 1.325 -4.854
3.170 -1.480 4.319
O Mn Ac Pa
6 1 1 1
direct
0.262 0.267 0.314
0.738 0.686 0.733
0.738 0.267 0.952
0.738 0.048 0.314
0.262 0.686 0.952
0.262 0.048 0.733
0.500 0.000 0.000
0.500 0.667 0.333
0.000 0.333 0.667
```

Computed properties:
SG ... No. 149
Crystal system ... trigonal

Entry 2:
Below is AcPaMn2O6 after structural relaxation, with properties calculated at the PBE with a Hubbard U level.

Cell and atoms, written as POSCAR:
```
AcPaMn2O6
1.0
-3.329 -3.247 0.768
1.893 -0.530 5.963
-4.021 4.520 1.679
Mn O Pa Ac
2 6 1 1
direct
0.907 0.000 0.500
0.907 0.500 0.000
0.762 0.237 0.763
0.114 0.500 0.500
0.217 0.000 0.000
0.762 0.763 0.763
0.762 0.763 0.237
0.762 0.237 0.237
0.663 0.000 0.000
0.591 0.500 0.500
```

Computed properties:
SG ... No. 99
DOS(E_F) ... 0.946 states/eV per cell
Crystal system ... tetragonal

Entry 3:
Below is Ac2PaMn3O12 after structural relaxation, with properties calculated at the PBE with a Hubbard U level.

Cell and atoms, written as POSCAR:
```
Ac2PaMn3O12
1.0
6.639 -0.183 -0.130
3.120 5.863 -0.130
3.120 1.816 5.576
O Ac Mn Pa
12 2 3 1
direct
0.267 0.873 0.267
0.859 0.422 0.859
0.422 0.859 0.859
0.127 0.733 0.733
0.578 0.141 0.141
0.859 0.859 0.422
0.733 0.733 0.127
0.267 0.267 0.873
0.141 0.578 0.141
0.733 0.127 0.733
0.873 0.267 0.267
0.141 0.141 0.578
0.388 0.388 0.388
0.612 0.612 0.612
0.000 0.000 0.500
0.500 0.000 0.000
0.000 0.500 0.000
0.000 0.000 0.000
```

Computed properties:
SG ... No. 166
DOS(E_F) ... 5.720 states/eV per cell
Crystal system ... trigonal

Entry 4:
Below is AcPaMn2O8 after structural relaxation, with properties calculated at the PBE with a Hubbard U level.

Cell and atoms, written as POSCAR:
```
AcPaMn2O8
1.0
5.275 0.000 0.000
0.000 5.275 0.000
-2.638 -2.638 5.944
O Ac Mn Pa
8 1 2 1
direct
0.150 0.618 0.878
0.740 0.850 0.122
0.382 0.272 0.122
0.728 0.260 0.878
0.038 0.430 0.347
0.309 0.917 0.347
0.083 0.962 0.653
0.570 0.691 0.653
0.750 0.250 0.500
0.500 0.500 0.000
0.250 0.750 0.500
0.000 0.000 0.000
```

Computed properties:
SG ... No. 82
Crystal system ... tetragonal

Entry 5:
Below is AcMnPb2O4 after structural relaxation, with properties calculated at the PBE with a Hubbard U level.

Cell and atoms, written as POSCAR:
```
AcMnPb2O4
1.0
-0.262 -3.155 1.518
6.402 0.844 -1.201
1.512 5.668 12.041
Pb O Mn Ac
4 8 2 2
direct
0.366 0.732 0.516
0.634 0.268 0.484
0.366 0.732 0.984
0.634 0.268 0.016
0.642 0.285 0.846
0.621 0.243 0.250
0.642 0.285 0.654
0.358 0.715 0.346
0.379 0.757 0.750
0.358 0.715 0.154
0.000 0.000 0.000
0.000 0.000 0.500
0.224 0.447 0.250
0.776 0.553 0.750
0.042 0.083 0.750
0.958 0.917 0.250
```

Computed properties:
SG ... No. 63
DOS(E_F) ... 2.257 states/eV per cell
Crystal system ... orthorhombic

Entry 6:
Below is AcMn2PbO8 after structural relaxation, with properties calculated at the PBE with a Hubbard U level.

Cell and atoms, written as POSCAR:
```
AcMn2PbO8
1.0
-3.636 -1.719 -4.201
5.021 -2.815 0.831
-3.402 -4.639 4.842
O Mn Ac Pb
8 2 1 1
direct
0.828 0.173 0.265
0.345 0.172 0.265
0.827 0.655 0.265
0.172 0.827 0.735
0.655 0.828 0.735
0.173 0.345 0.735
0.667 0.333 0.973
0.333 0.667 0.027
0.333 0.667 0.809
0.667 0.333 0.191
0.000 0.000 0.500
0.000 0.000 0.000
```

Computed properties:
SG ... No. 164
DOS(E_F) ... 8.305 states/eV per cell
Crystal system ... trigonal

In the order shown, the computed energy values come out to -74.2, -81.0, -139.8, -96.0, -52.0, -79.0 eV/f.u..